1.
Compound: NbFe3I
Source: the Alexandria database
Functional: GGA-PBE
Structure: optimized geometry

Electronic total energy   -5.74 eV per atom
M_tot   3.3 μB per formula unit
Energy above the most stable polymorph in this dataset   125 meV per atom
Formation energy from raw total energies   38.4 kcal/mol of atoms
ρ   6.719 g cm⁻³

```
NbFe3I
1.0
4.574 0.000 0.000
0.000 4.574 0.000
0.000 0.000 4.574
I Nb Fe
1 1 3
Direct
0.000 0.000 0.000
0.500 0.500 0.500
0.000 0.500 0.000
0.000 0.000 0.500
0.500 0.000 0.000
```

***

2.
Compound: Sr2Hg16Pb
Source: the Alexandria database
Functional: GGA-PBE
Structure: optimized geometry

ΔE_f   -154.7 meV per atom
Electronic total energy   -0.78 eV per atom
M_tot   0.0 μB per formula unit
ρ   11.220 g cm⁻³

```
Sr2Hg16Pb
1.0
8.190 0.555 1.541
1.377 8.093 1.541
0.614 0.555 8.311
Sr Hg Pb
2 16 1
Direct
0.643 0.643 0.643
0.321 0.321 0.321
0.693 0.007 0.309
0.007 0.309 0.693
0.309 0.693 0.007
0.007 0.693 0.309
0.693 0.309 0.007
0.309 0.007 0.693
0.349 0.905 0.349
0.905 0.349 0.349
0.349 0.349 0.905
0.594 0.237 0.594
0.237 0.594 0.594
0.594 0.594 0.237
0.937 0.562 0.937
0.562 0.937 0.937
0.937 0.937 0.562
0.115 0.115 0.115
0.937 0.937 0.937
```

***

3.
Compound: PbWI2N
Source: the Alexandria database
Functional: GGA-PBE
Structure: optimized geometry

Electronic total energy   -3.71 eV per atom
M_tot   5.1 μB per formula unit
Energy above the most stable polymorph in this dataset   1552 meV per atom
Formation energy from raw total energies   44.1 kcal/mol of atoms
ρ   6.852 g cm⁻³

```
PbWI2N
1.0
6.231 0.000 0.000
0.000 6.231 0.000
0.000 0.000 4.112
Pb I W N
1 2 1 1
Direct
0.000 0.000 0.000
0.000 0.500 0.000
0.500 0.000 0.000
0.500 0.500 0.500
0.000 0.000 0.500
```

***

4.
Compound: Tb12Cu3N5
Source: the Alexandria database
Functional: GGA-PBE
Structure: optimized geometry

Electronic total energy   -6.19 eV per atom
M_tot   0.0 μB per formula unit
Formation energy from raw total energies   -16.6 kcal/mol of atoms
ρ   8.037 g cm⁻³

```
Tb12Cu3N5
1.0
-4.527 8.579 -9.029
-7.744 -10.753 0.148
-0.126 5.700 11.963
Tb Cu N
48 12 20
Direct
0.704 0.117 0.021
0.317 0.521 0.404
0.979 0.383 0.296
0.521 0.204 0.117
0.587 0.704 0.683
0.979 0.596 0.183
0.317 0.796 0.413
0.096 0.913 0.117
0.596 0.979 0.683
0.704 0.587 0.183
0.796 0.479 0.383
0.817 0.904 0.021
0.117 0.704 0.521
0.383 0.404 0.087
0.087 0.904 0.383
0.413 0.117 0.596
0.087 0.183 0.204
0.479 0.683 0.096
0.817 0.913 0.296
0.117 0.413 0.096
0.383 0.979 0.796
0.596 0.617 0.413
0.904 0.817 0.521
0.796 0.317 0.913
0.404 0.383 0.587
0.096 0.183 0.479
0.204 0.683 0.087
0.183 0.087 0.704
0.617 0.021 0.204
0.883 0.587 0.904
0.521 0.317 0.904
0.587 0.883 0.404
0.913 0.817 0.796
0.913 0.096 0.617
0.883 0.296 0.479
0.183 0.096 0.979
0.617 0.596 0.913
0.404 0.021 0.317
0.296 0.413 0.817
0.204 0.521 0.617
0.904 0.087 0.883
0.683 0.204 0.587
0.479 0.796 0.883
0.021 0.404 0.817
0.413 0.296 0.317
0.021 0.617 0.704
0.683 0.479 0.596
0.296 0.883 0.979
0.750 0.375 0.125
0.875 0.750 0.125
0.375 0.750 0.625
0.250 0.125 0.375
0.875 0.125 0.250
0.375 0.625 0.250
0.625 0.375 0.750
0.125 0.875 0.750
0.750 0.875 0.625
0.625 0.250 0.375
0.125 0.250 0.875
0.250 0.625 0.875
0.125 0.375 0.250
0.000 0.500 0.000
0.000 0.000 0.000
0.375 0.250 0.125
0.500 0.000 0.500
0.500 0.500 0.000
0.125 0.750 0.375
0.750 0.125 0.875
0.750 0.625 0.375
0.375 0.125 0.750
0.625 0.875 0.250
0.500 0.500 0.500
0.500 0.000 0.000
0.000 0.000 0.500
0.250 0.375 0.625
0.250 0.875 0.125
0.000 0.500 0.500
0.875 0.250 0.625
0.625 0.750 0.875
0.875 0.625 0.750
```

***

5.
Compound: BaLa2Pb2
Source: the Alexandria database
Functional: GGA-PBE
Structure: optimized geometry

ΔE_f   -403.8 meV per atom
Electronic total energy   -4.24 eV per atom
M_tot   0.0 μB per formula unit
Energy above the most stable polymorph in this dataset   109 meV per atom
ρ   7.053 g cm⁻³

```
BaLa2Pb2
1.0
5.140 0.000 0.000
0.000 5.140 0.000
2.570 2.570 7.393
Pb Ba La
2 1 2
Direct
0.395 0.395 0.210
0.605 0.605 0.790
0.000 0.000 0.000
0.750 0.250 0.500
0.250 0.750 0.500
```

***

6.
Compound: Sb5Pd12Se2
Source: the Alexandria database
Functional: GGA-PBE
Structure: optimized geometry

Electronic total energy   -5.02 eV per atom
M_tot   0.0 μB per formula unit
Formation energy from raw total energies   -6.6 kcal/mol of atoms
ρ   9.195 g cm⁻³

```
Sb5Pd12Se2
1.0
5.675 0.000 0.000
-2.837 7.642 -0.115
0.000 -2.826 8.553
Sb Pd Se
5 12 2
Direct
0.318 0.636 0.658
0.342 0.684 0.160
0.000 0.000 0.500
0.658 0.316 0.840
0.682 0.364 0.342
0.076 0.151 0.266
0.057 0.625 0.901
0.567 0.625 0.901
0.089 0.679 0.416
0.590 0.679 0.416
0.490 0.979 0.649
0.510 0.021 0.351
0.911 0.321 0.584
0.410 0.321 0.584
0.943 0.375 0.099
0.433 0.375 0.099
0.924 0.849 0.734
0.752 0.000 0.000
0.248 0.000 0.000
```

***

7.
Compound: Ca3SmY2Se6
Source: the Alexandria database
Functional: GGA-PBE
Structure: optimized geometry

Electronic total energy   -5.60 eV per atom
M_tot   0.0 μB per formula unit
Formation energy from raw total energies   -43.6 kcal/mol of atoms
ρ   5.037 g cm⁻³

```
Ca3SmY2Se6
1.0
7.148 0.003 0.000
-3.570 6.193 0.000
-1.194 -2.068 6.867
Ca Sm Y Se
3 1 2 6
Direct
0.165 0.835 0.500
0.835 0.165 0.500
0.500 0.500 0.500
0.000 0.000 0.000
0.333 0.667 0.000
0.667 0.333 0.000
0.917 0.579 0.751
0.744 0.744 0.248
0.083 0.421 0.249
0.579 0.917 0.751
0.256 0.256 0.752
0.421 0.083 0.249
```

***

8.
Compound: ScPaVTc
Source: the Alexandria database
Functional: GGA-PBE
Structure: optimized geometry

ΔE_f   -83.5 meV per atom
Electronic total energy   -8.91 eV per atom
M_tot   0.6 μB per formula unit
ρ   9.625 g cm⁻³

```
ScPaVTc
1.0
-0.274 2.598 3.904
0.824 -1.961 4.189
3.904 1.088 2.376
Sc Pa Tc V
1 1 1 1
Direct
0.000 0.000 0.000
0.500 0.500 0.500
0.750 0.750 0.750
0.250 0.250 0.250
```

***

9.
Compound: ScMo2Br
Source: the Alexandria database
Functional: GGA-PBE
Structure: optimized geometry

Electronic total energy   -7.33 eV per atom
M_tot   0.0 μB per formula unit
Energy above the most stable polymorph in this dataset   163 meV per atom
Formation energy from raw total energies   2.1 kcal/mol of atoms
ρ   6.713 g cm⁻³

```
ScMo2Br
1.0
3.101 -0.008 0.000
-1.296 2.818 0.000
0.000 0.000 8.977
Br Mo Sc
1 2 1
Direct
0.500 0.500 0.726
0.000 0.000 0.039
0.500 0.500 0.243
0.000 0.000 0.493
```

***

10.
Compound: YIn2Pt
Source: the Alexandria database
Functional: GGA-PBE
Structure: optimized geometry

ΔE_f   -548.6 meV per atom
Electronic total energy   -5.04 eV per atom
M_tot   0.0 μB per formula unit
ρ   9.710 g cm⁻³

```
YIn2Pt
1.0
-3.077 3.801 0.987
-4.365 -0.847 2.264
-0.696 1.487 4.712
In Pt Y
2 1 1
Direct
0.000 0.000 0.000
0.250 0.250 0.250
0.500 0.500 0.500
0.750 0.750 0.750
```

***

11.
Compound: ZnNi2Br
Source: the Alexandria database
Functional: GGA-PBE
Structure: optimized geometry

Electronic total energy   -3.24 eV per atom
M_tot   0.0 μB per formula unit
Energy above the most stable polymorph in this dataset   282 meV per atom
Formation energy from raw total energies   8.9 kcal/mol of atoms
ρ   7.687 g cm⁻³

```
ZnNi2Br
1.0
-3.113 -2.555 1.216
2.198 -1.066 3.424
-1.351 2.416 1.619
Br Ni Zn
1 2 1
Direct
0.000 0.500 0.500
0.000 0.000 0.000
0.500 0.500 0.000
0.500 0.000 0.500
```

***

12.
Compound: DyMnPd2
Source: the Alexandria database
Functional: GGA-PBE
Structure: optimized geometry

ΔE_f   -530.4 meV per atom
Electronic total energy   -6.57 eV per atom
M_tot   3.8 μB per formula unit
Energy above the most stable polymorph in this dataset   0 meV per atom
ρ   10.026 g cm⁻³

```
DyMnPd2
1.0
-0.688 3.774 -0.044
-2.152 -0.435 -3.709
-3.654 -0.641 2.195
Mn Pd Dy
1 2 1
Direct
0.500 0.000 0.000
0.000 0.000 0.500
0.000 0.500 0.000
0.500 0.500 0.500
```

***

13.
Compound: CrHgPt
Source: the Alexandria database
Functional: GGA-PBE
Structure: optimized geometry

ΔE_f   203.3 meV per atom
Electronic total energy   -5.12 eV per atom
M_tot   3.8 μB per formula unit
Energy above the most stable polymorph in this dataset   91 meV per atom
ρ   14.162 g cm⁻³

```
CrHgPt
1.0
4.523 0.000 0.000
-2.261 3.917 0.000
0.000 0.000 2.963
Cr Hg Pt
1 1 1
Direct
0.000 0.000 0.833
0.333 0.667 0.333
0.667 0.333 0.833
```

***

14.
Compound: LaTa
Source: the Alexandria database
Functional: GGA-PBE
Structure: optimized geometry

ΔE_f   467.9 meV per atom
Electronic total energy   -7.92 eV per atom
M_tot   0.0 μB per formula unit
Energy above the most stable polymorph in this dataset   189 meV per atom
ρ   10.117 g cm⁻³

```
LaTa
1.0
1.554 8.620 0.287
-1.554 8.620 0.287
0.000 2.100 5.950
La Ta
3 3
Direct
0.024 0.024 0.031
0.320 0.320 0.237
0.367 0.367 0.689
0.686 0.686 0.649
0.686 0.686 0.090
0.084 0.084 0.471
```

***

15.
Compound: ZrMn4Si
Source: the Alexandria database
Functional: GGA-PBE
Structure: optimized geometry

Electronic total energy   -8.55 eV per atom
M_tot   2.9 μB per formula unit
Formation energy from raw total energies   -2.5 kcal/mol of atoms
ρ   7.227 g cm⁻³

```
ZrMn4Si
1.0
-1.996 -3.166 2.996
-4.656 -1.070 -0.398
-1.339 -4.311 -1.613
Zr Mn Si
1 4 1
Direct
0.000 0.000 0.000
0.377 0.870 0.377
0.870 0.377 0.377
0.377 0.377 0.870
0.377 0.377 0.377
0.750 0.750 0.750
```

***

16.
Compound: ZnInW2
Source: the Alexandria database
Functional: GGA-PBE
Structure: optimized geometry

ΔE_f   491.1 meV per atom
Electronic total energy   -6.99 eV per atom
M_tot   0.0 μB per formula unit
Energy above the most stable polymorph in this dataset   150 meV per atom
ρ   13.472 g cm⁻³

```
ZnInW2
1.0
4.563 0.000 0.000
0.000 2.787 0.019
0.000 1.153 5.318
In W Zn
1 2 1
Direct
0.500 0.750 0.750
0.000 0.000 0.013
0.000 0.500 0.487
0.500 0.250 0.250
```

***

17.
Compound: NdHo6Tm8
Source: the Alexandria database
Functional: GGA-PBE
Structure: optimized geometry

ΔE_f   233.4 meV per atom
Electronic total energy   -4.30 eV per atom
M_tot   0.0 μB per formula unit
Energy above the most stable polymorph in this dataset   96 meV per atom
ρ   8.513 g cm⁻³

```
NdHo6Tm8
1.0
6.402 0.000 0.000
0.000 8.098 -4.675
0.000 0.000 9.351
Nd Ho Tm
1 6 8
Direct
0.500 0.000 0.000
0.587 0.682 0.101
0.587 0.899 0.581
0.587 0.419 0.318
0.413 0.318 0.899
0.413 0.101 0.419
0.413 0.581 0.682
0.909 0.975 0.314
0.909 0.686 0.661
0.909 0.339 0.025
0.091 0.025 0.686
0.091 0.314 0.339
0.091 0.661 0.975
0.839 0.333 0.667
0.161 0.667 0.333
```

***

18.
Compound: FeCoNiPd2
Source: the Alexandria database
Functional: GGA-PBE
Structure: optimized geometry

ΔE_f   1052.8 meV per atom
Electronic total energy   -5.29 eV per atom
M_tot   6.9 μB per formula unit
ρ   7.340 g cm⁻³

```
FeCoNiPd2
1.0
4.557 0.000 0.000
0.000 4.209 0.000
0.000 0.000 4.557
Ni Co Fe Pd
1 1 1 2
Direct
0.000 0.500 0.000
0.000 0.000 0.000
0.500 0.500 0.500
0.000 0.000 0.500
0.500 0.000 0.000
```

***

19.
Compound: HoPuThIn
Source: the Alexandria database
Functional: GGA-PBE
Structure: optimized geometry

ΔE_f   50.8 meV per atom
Electronic total energy   -7.22 eV per atom
M_tot   6.6 μB per formula unit
ρ   11.265 g cm⁻³

```
HoPuThIn
1.0
-2.824 -3.136 -3.370
-0.592 -5.262 1.065
-4.817 -1.926 1.501
In Ho Th Pu
1 1 1 1
Direct
0.250 0.250 0.250
0.500 0.500 0.500
0.750 0.750 0.750
0.000 0.000 0.000
```

***

20.
Compound: Ce2EuMg
Source: the Alexandria database
Functional: GGA-PBE
Structure: optimized geometry

ΔE_f   165.7 meV per atom
Electronic total energy   -5.77 eV per atom
M_tot   10.5 μB per formula unit
ρ   6.164 g cm⁻³

```
Ce2EuMg
1.0
5.228 0.000 0.000
0.000 4.850 0.000
0.000 0.000 4.850
Eu Mg Ce
1 1 2
Direct
0.500 0.000 0.000
0.500 0.500 0.500
0.000 0.000 0.500
0.000 0.500 0.000
```

***

21.
Compound: NaIr3Cl
Source: the Alexandria database
Functional: GGA-PBE
Structure: optimized geometry

Electronic total energy   -4.60 eV per atom
M_tot   0.6 μB per formula unit
Energy above the most stable polymorph in this dataset   0 meV per atom
Formation energy from raw total energies   31.2 kcal/mol of atoms
ρ   11.760 g cm⁻³

```
NaIr3Cl
1.0
-0.212 -4.332 1.106
0.975 -1.126 -4.221
4.364 0.040 0.997
Na Ir Cl
1 3 1
Direct
0.500 0.500 0.500
0.000 0.500 0.000
0.000 0.000 0.500
0.500 0.000 0.000
0.000 0.000 0.000
```

***

22.
Compound: PrErN2
Source: the Alexandria database
Functional: GGA-PBE
Structure: optimized geometry

Electronic total energy   -7.86 eV per atom
M_tot   0.0 μB per formula unit
Formation energy from raw total energies   -31.3 kcal/mol of atoms
ρ   8.877 g cm⁻³

```
PrErN2
1.0
3.463 0.000 0.000
0.000 6.031 0.000
0.000 0.000 6.023
Pr Er N
2 2 4
Direct
0.500 0.910 0.000
0.000 0.090 0.500
0.500 0.579 0.500
0.000 0.421 0.000
0.000 0.734 0.743
0.500 0.266 0.757
0.000 0.734 0.257
0.500 0.266 0.243
```